[1]
YPuAsP | GGA-PBE | relaxed

Computed properties:
- Symmetry: No. 123
- DOS(E_F): 2.50 states/eV/atom
- Electronic total energy: -9.037 eV/atom

Cell: 4.0592 4.0592 5.7540 Å, 90.00 90.00 90.00°
Element x y z (fractional)
Y  0.0000  0.0000  0.0000
Pu  0.5000  0.5000  0.5000
As  0.5000  0.5000  0.0000
P  0.0000  0.0000  0.5000



[2]
Rb2AsP2 | GGA-PBE | relaxed

Computed properties:
- Symmetry: No. 139
- ΔE to the lowest computed polymorph: 106 meV per atom
- DOS(E_F): 0.47 states/eV/atom

Cell: 11.4713 11.4713 11.4713 Å, 162.65 162.65 24.63°
Element x y z (fractional)
Rb  0.1115  0.1115  0.0000
Rb  0.8885  0.8885  0.0000
As  0.5000  0.5000  0.0000
P  0.2500  0.7500  0.5000
P  0.7500  0.2500  0.5000



[3]
RbAs2P | GGA-PBE | relaxed

Computed properties:
- Symmetry: No. 166
- DOS(E_F): 0.43 states/eV/atom
- Electronic total energy: -3.826 eV/atom

Cell: 8.8453 8.8453 8.8453 Å, 23.70 23.70 23.70°
Element x y z (fractional)
Rb  0.0000  0.0000  0.0000
As  0.2232  0.2232  0.2232
As  0.7768  0.7768  0.7768
P  0.5000  0.5000  0.5000



[4]
Rb2As2P | GGA-PBE | relaxed

Computed properties:
- Symmetry: No. 127
- DOS(E_F): 0.57 states/eV/atom
- Electronic total energy: -3.416 eV/atom

Cell: 7.0642 7.0642 5.6140 Å, 90.00 90.00 90.00°
Element x y z (fractional)
Rb  0.1824  0.3176  0.0000
Rb  0.3176  0.8176  0.0000
Rb  0.6824  0.1824  0.0000
Rb  0.8176  0.6824  0.0000
As  0.1252  0.6252  0.5000
As  0.3748  0.1252  0.5000
As  0.6252  0.8748  0.5000
As  0.8748  0.3748  0.5000
P  0.0000  0.0000  0.5000
P  0.5000  0.5000  0.5000



[5]
RbAsP3 | GGA-PBE | relaxed

Computed properties:
- Symmetry: No. 221
- ΔE to the lowest computed polymorph: 0 meV per atom
- DOS(E_F): 1.20 states/eV/atom

Cell: 4.9707 4.9707 4.9707 Å, 90.00 90.00 90.00°
Element x y z (fractional)
Rb  0.0000  0.0000  0.0000
As  0.5000  0.5000  0.5000
P  0.0000  0.5000  0.5000
P  0.5000  0.0000  0.5000
P  0.5000  0.5000  0.0000



[6]
RbAs2P | GGA-PBE | relaxed

Computed properties:
- Symmetry: No. 122
- DOS(E_F): 0.00 states/eV/atom
- Electronic total energy: -4.035 eV/atom

Cell: 6.7092 6.7092 6.7092 Å, 112.27 112.27 104.02°
Element x y z (fractional)
Rb  0.0000  0.0000  0.0000
Rb  0.7500  0.2500  0.5000
As  0.2375  0.1250  0.6125
As  0.3750  0.7625  0.8875
As  0.5125  0.6250  0.3875
As  0.8750  0.4875  0.1125
P  0.2500  0.7500  0.5000
P  0.5000  0.5000  0.0000



[7]
RbAs2P | GGA-PBE | relaxed

Computed properties:
- Symmetry: No. 14
- Electronic total energy: -4.102 eV/atom

Cell: 4.0638 11.8707 10.9695 Å, 90.00 91.30 90.00°
Element x y z (fractional)
Rb  0.1372  0.2370  0.4826
Rb  0.1372  0.2630  0.9826
Rb  0.8628  0.7370  0.0174
Rb  0.8628  0.7630  0.5174
As  0.1180  0.0044  0.1811
As  0.1180  0.4956  0.6811
As  0.3824  0.5089  0.1791
As  0.3824  0.9911  0.6791
As  0.6176  0.0089  0.3209
As  0.6176  0.4911  0.8209
As  0.8820  0.5044  0.3189
As  0.8820  0.9956  0.8189
P  0.3659  0.6573  0.7594
P  0.3659  0.8427  0.2594
P  0.6341  0.1573  0.7406
P  0.6341  0.3427  0.2406



[8]
RbAsP3 | GGA-PBE | relaxed

Computed properties:
- Symmetry: No. 221
- ΔE to the lowest computed polymorph: 1692 meV per atom
- DOS(E_F): 1.48 states/eV/atom

Cell: 5.2962 5.2962 5.2962 Å, 90.00 90.00 90.00°
Element x y z (fractional)
Rb  0.0000  0.0000  0.0000
As  0.5000  0.5000  0.5000
P  0.0000  0.0000  0.5000
P  0.0000  0.5000  0.0000
P  0.5000  0.0000  0.0000



Taking the records one at a time from the top gives M_tot values of 4.94 0.00 0.00 0.00 0.00 0.00 0.00 0.00 μB per formula unit.